Record 1
7
Lattice="4.816 0.000 0.000 0.000 5.436 0.000 0.000 -2.718 5.622" Properties=species:S:1:pos:R:3 comment="Ti4NbIn2 PBE optimized geometry" space_group="No. 65" n_ef_per_ev_cell=7.7 m_tot_mub_per_atom=0.00 e_form_ev_per_atom=0.507 energy_ev_per_fu=-43.6 pbc="T T T"
Ti 2.408 2.718 1.440
Ti 0.000 2.718 2.837
Ti 2.408 0.000 4.181
Ti 0.000 0.000 2.785
Nb 0.000 2.718 0.000
In 2.408 0.000 1.339
In 2.408 2.718 4.283

=====

Record 2
5
Lattice="3.968 0.000 0.000 0.000 3.968 0.000 0.000 0.000 4.244" Properties=species:S:1:pos:R:3 comment="BaTcN2O PBE optimized geometry" space_group="No. 123" raw_formation_energy_kj_per_mol_atoms=-73.2 n_ef_per_ev_cell=3.7 m_tot_mub_per_atom=0.00 energy_ev_per_fu=-37.7 pbc="T T T"
N 0.000 1.984 0.000
N 1.984 0.000 0.000
Ba 1.984 1.984 2.122
O 0.000 0.000 2.122
Tc 0.000 0.000 0.000

=====

Record 3
6
Lattice="2.938 0.000 0.013 0.006 4.912 0.040 1.018 2.071 9.467" Properties=species:S:1:pos:R:3 comment="In2W PBE optimized geometry" space_group="No. 2" n_ef_per_ev_cell=2.1 m_tot_mub_per_atom=0.00 e_form_ev_per_atom=0.371 energy_ev_per_fu=-17.3 pbc="T T T"
In 1.066 3.324 6.312
In 2.895 3.659 3.208
In 2.917 1.215 0.942
In 1.044 5.768 8.578
W 1.501 1.187 3.601
W 2.460 5.796 5.918

=====

Record 4
4
Lattice="-4.548 -3.242 1.635 0.567 -5.769 -0.512 3.112 4.362 2.269" Properties=species:S:1:pos:R:3 comment="YTaIn2 PBE optimized geometry" space_group="No. 119" n_ef_per_ev_cell=1.5 m_tot_mub_per_atom=0.00 e_form_ev_per_atom=0.049 energy_ev_per_fu=-23.6 pbc="T T T"
In 0.000 0.000 0.000
In -1.713 -1.693 2.232
Ta -1.990 -4.505 0.561
Y 0.845 -2.956 1.159

=====

Record 5
4
Lattice="4.574 0.024 0.000 -1.996 4.116 0.000 0.000 0.000 2.527" Properties=species:S:1:pos:R:3 comment="BeCu2Ru PBE optimized geometry" space_group="No. 65" n_ef_per_ev_cell=1.7 m_tot_mub_per_atom=0.00 e_form_ev_per_atom=0.131 energy_ev_per_fu=-20.7 pbc="T T T"
Ru 2.287 0.012 1.263
Cu 0.000 0.000 0.000
Cu 1.289 2.070 0.000
Be -0.998 2.058 1.263

=====

Record 6
8
Lattice="3.728 0.000 0.000 0.000 5.281 0.000 -1.864 -2.640 11.020" Properties=species:S:1:pos:R:3 comment="Tb2Ho3Hg3 PBE optimized geometry" space_group="No. 71" n_ef_per_ev_cell=8.1 m_tot_mub_per_atom=0.00 e_form_ev_per_atom=-0.357 energy_ev_per_fu=-26.8 pbc="T T T"
Tb 1.864 0.000 5.112
Tb 0.000 2.640 5.908
Ho 1.864 2.640 2.662
Ho 0.000 0.000 8.358
Ho 1.864 0.000 0.000
Hg 0.000 0.000 2.587
Hg 0.000 2.640 0.000
Hg 1.864 2.640 8.433

=====

Record 7
4
Lattice="-0.303 5.290 -3.803 1.850 0.205 -6.251 -3.566 -3.520 4.175" Properties=species:S:1:pos:R:3 comment="YTl2As PBE optimized geometry" space_group="No. 139" n_ef_per_ev_cell=1.9 relative_energy_ev_per_atom=0.0970 m_tot_mub_per_atom=0.00 e_form_ev_per_atom=-0.409 energy_ev_per_fu=-17.5 pbc="T T T"
Y -0.471 -0.283 -3.551
Tl 0.000 0.000 0.000
Tl 0.774 2.748 -5.027
As -1.548 2.259 -2.327

=====

Record 8
8
Lattice="6.839 -0.050 -0.076 -2.959 6.166 0.076 -2.959 -2.412 5.676" Properties=species:S:1:pos:R:3 comment="K2AlSbS4 PBE optimized geometry" space_group="No. 82" raw_formation_energy_kj_per_mol_atoms=-85.6 m_tot_mub_per_atom=0.00 energy_ev_per_fu=-33.7 pbc="T T T"
K 0.461 3.997 1.438
K 0.000 0.000 0.000
Al -2.959 1.877 2.876
Sb 0.461 -0.292 4.238
S 1.659 1.378 2.562
S -2.046 -0.147 3.383
S 4.420 2.931 0.881
S -2.191 3.249 4.525

=====

Record 9
6
Lattice="-1.793 2.469 2.992 1.084 -0.488 4.105 8.172 8.348 1.060" Properties=species:S:1:pos:R:3 comment="CdInS PBE optimized geometry" space_group="No. 166" raw_formation_energy_kj_per_mol_atoms=-14.3 n_ef_per_ev_cell=1.4 relative_energy_ev_per_atom=0.1386 m_tot_mub_per_atom=0.00 energy_ev_per_fu=-8.2 pbc="T T T"
Cd 0.379 2.099 4.599
Cd 7.084 8.230 3.558
S 1.003 1.793 2.173
S 6.459 8.535 5.984
In 2.797 5.187 6.552
In 4.665 5.142 1.604

=====

Record 10
8
Lattice="5.061 0.000 0.000 0.000 5.061 0.000 2.531 2.531 8.449" Properties=species:S:1:pos:R:3 comment="BaTc2Mo PBE optimized geometry" space_group="No. 141" n_ef_per_ev_cell=10.8 relative_energy_ev_per_atom=0.4905 m_tot_mub_per_atom=0.00 e_form_ev_per_atom=1.104 energy_ev_per_fu=-29.1 pbc="T T T"
Mo 2.531 2.531 0.000
Mo 2.531 5.061 4.224
Ba 0.000 0.000 0.000
Ba 5.061 2.531 4.224
Tc 2.531 1.265 2.112
Tc 2.530 3.796 2.112
Tc 3.796 5.061 6.337
Tc 6.327 5.061 6.337

=====

Record 11
4
Lattice="-4.041 1.001 -2.753 0.121 -1.083 -4.870 0.307 -1.705 4.681" Properties=species:S:1:pos:R:3 comment="Fe2NiCl PBE optimized geometry" space_group="No. 71" raw_formation_energy_kj_per_mol_atoms=49.8 n_ef_per_ev_cell=3.7 relative_energy_ev_per_atom=0.3868 m_tot_mub_per_atom=1.52 energy_ev_per_fu=-22.5 pbc="T T T"
Ni -2.847 -0.373 -0.942
Fe -0.055 -0.001 -0.108
Fe -1.905 -0.040 -3.704
Cl -0.766 -1.415 -2.001

=====

Record 12
6
Lattice="-0.335 4.259 1.364 -3.143 0.000 5.556 3.829 0.314 5.610" Properties=species:S:1:pos:R:3 comment="SnGeBi PBE optimized geometry" space_group="No. 1" n_ef_per_ev_cell=2.8 relative_energy_ev_per_atom=0.0228 m_tot_mub_per_atom=0.00 e_form_ev_per_atom=0.161 energy_ev_per_fu=-12.0 pbc="T T T"
Sn 1.396 0.544 2.328
Sn -0.200 2.198 9.858
Ge 0.153 2.672 5.413
Ge -1.187 1.451 3.356
Bi -2.538 3.501 6.478
Bi 1.170 4.404 7.866